[1]
Here is a relaxed CsMg2Zn2As2P crystal from OQMD. Energies are from PBE-GGA.

Unit cell a=4.3171 b=4.3171 c=10.6670 alpha=90.00 beta=90.00 gamma=90.00
Element x y z (fractional)
As 0.5000 0.5000 0.2831
As 0.5000 0.5000 0.7245
Cs 0.0000 0.0000 0.5001
Mg 0.5000 0.0000 0.1482
Mg 0.0000 0.5000 0.1482
P 0.0000 0.0000 0.9964
Zn 0.5000 0.0000 0.8497
Zn 0.0000 0.5000 0.8497

---

[2]
Here is a relaxed Rb2SnMoN4 crystal from OQMD. Energies are from PBE-GGA.

Unit cell a=6.0607 b=6.0607 c=6.0607 alpha=120.38 beta=120.38 gamma=89.35
Element x y z (fractional)
Mo 0.5000 0.5000 0.0000
N 0.6149 0.2746 0.1306
N 0.7254 0.8560 0.3403
N 0.5157 0.3851 0.6597
N 0.1440 0.4843 0.8694
Rb 0.0000 0.0000 0.0000
Rb 0.2500 0.7500 0.5000
Sn 0.7500 0.2500 0.5000

---

[3]
Here is a relaxed MgZrIr2 crystal from OQMD. Energies are from PBE-GGA.

Unit cell a=4.4192 b=4.4192 c=3.4020 alpha=90.00 beta=90.00 gamma=90.00
Element x y z (fractional)
Ir 0.5000 0.0000 0.5000
Ir 0.0000 0.5000 0.5000
Mg 0.5000 0.5000 0.0000
Zr 0.0000 0.0000 0.0000

---

[4]
Here is a relaxed LaPrSO2 crystal from OQMD. Energies are from PBE-GGA.

Unit cell a=4.0140 b=4.0140 c=6.8753 alpha=90.00 beta=90.00 gamma=60.00
Element x y z (fractional)
La 0.6666 0.6666 0.2788
O 0.3333 0.3333 0.3708
O 0.6667 0.6667 0.6308
Pr 0.3334 0.3334 0.7214
S 0.0000 0.0000 0.9981

---

For each record above, in turn, the calculated DFT total energy values are -3.126 -6.443 -7.671 -7.861 eV/atom.